# 1
3
Lattice="-2.5061 1.6450 2.3027 -1.1846 -1.8018 -3.1047 -0.5585 -6.1259 3.7683" Properties=species:S:1:pos:R:3 comment="GGA-PBE LaPrCu, relaxed" formation_enthalpy_0k_ev_per_atom=0.05 spacegroup="P3m1, No. 156" final_energy_ev_per_atom=-4.550 rho_g_cm3=6.39 de_polymorph_mev_per_atom=115 magmom_total_mub_per_fu=0.00 pbc="T T T"
Pr -1.9706 -4.4425 1.0290
Cu -2.2520 -1.5489 1.7582
La -0.0266 -0.2913 0.1792

---

# 2
10
Lattice="-3.5657 -0.7782 0.3795 1.1294 -3.1891 4.0717 0.3996 10.8692 8.4024" Properties=species:S:1:pos:R:3 comment="GGA-PBE LaPr2Cu2, relaxed" formation_enthalpy_0k_ev_per_atom=-0.07 spacegroup="P2_1/m, No. 11" final_energy_ev_per_atom=-4.607 rho_g_cm3=6.88 de_polymorph_mev_per_atom=0 magmom_total_mub_per_fu=0.00 pbc="T T T"
La -1.9342 4.7673 9.4326
La -0.1025 2.1345 3.4210
Pr 0.7175 -1.4059 3.8619
Pr -2.7542 8.3078 8.9917
Pr 0.2132 2.4022 6.9845
Pr -2.2499 4.4996 5.8691
Cu -1.3175 0.1229 5.6238
Cu -0.7192 6.7790 7.2298
Cu -0.4082 7.1464 10.8728
Cu -1.6286 -0.2446 1.9809

---

# 3
10
Lattice="4.8529 0.0000 0.0000 0.0000 4.0139 -0.2089 0.0000 -1.2848 14.0788" Properties=species:S:1:pos:R:3 comment="GGA-PBE La2PrCu2, relaxed" formation_enthalpy_0k_ev_per_atom=-0.07 spacegroup="P2_1/m, No. 11" final_energy_ev_per_atom=-4.632 rho_g_cm3=6.64 de_polymorph_mev_per_atom=32 magmom_total_mub_per_fu=0.00 pbc="T T T"
La 1.2132 2.6514 12.3768
La 3.6397 0.0778 1.4930
La 1.2132 0.3826 7.4716
La 3.6397 2.3466 6.3983
Pr 1.2132 2.2049 3.7012
Pr 3.6397 0.5242 10.1687
Cu 1.2132 2.4994 9.4364
Cu 3.6397 0.2298 4.4335
Cu 1.2132 2.0434 0.6187
Cu 3.6397 0.6857 13.2511

---

# 4
12
Lattice="5.3300 0.0000 0.0000 2.6650 4.6159 0.0000 2.6650 1.5386 8.3828" Properties=species:S:1:pos:R:3 comment="GGA-PBE LaPr2Cu9, relaxed" formation_enthalpy_0k_ev_per_atom=-0.13 spacegroup="R-3m, No. 166" final_energy_ev_per_atom=-4.407 rho_g_cm3=7.99 magmom_total_mub_per_fu=0.00 pbc="T T T"
La 0.0000 0.0000 0.0000
Pr 7.9949 4.6159 3.6802
Pr 2.6650 1.5386 4.7026
Cu 7.9950 4.6159 8.3192
Cu 2.6650 1.5386 0.0636
Cu 5.3300 3.0773 4.1914
Cu 4.0319 2.3278 2.0250
Cu 6.6280 2.3278 2.0250
Cu 5.3300 4.5761 2.0250
Cu 6.6280 3.8267 6.3578
Cu 5.3300 1.5784 6.3578
Cu 4.0319 3.8267 6.3578

---

Repeat the second record exactly.
10
Lattice="-3.5657 -0.7782 0.3795 1.1294 -3.1891 4.0717 0.3996 10.8692 8.4024" Properties=species:S:1:pos:R:3 comment="GGA-PBE LaPr2Cu2, relaxed" formation_enthalpy_0k_ev_per_atom=-0.07 spacegroup="P2_1/m, No. 11" final_energy_ev_per_atom=-4.607 rho_g_cm3=6.88 de_polymorph_mev_per_atom=0 magmom_total_mub_per_fu=0.00 pbc="T T T"
La -1.9342 4.7673 9.4326
La -0.1025 2.1345 3.4210
Pr 0.7175 -1.4059 3.8619
Pr -2.7542 8.3078 8.9917
Pr 0.2132 2.4022 6.9845
Pr -2.2499 4.4996 5.8691
Cu -1.3175 0.1229 5.6238
Cu -0.7192 6.7790 7.2298
Cu -0.4082 7.1464 10.8728
Cu -1.6286 -0.2446 1.9809

---

Q: Which formula does entry 2 have?
A: LaPr2Cu2